Below is Dy2AlCrS6 after structural relaxation, with properties calculated at the GGA-PBE level.

a b c (Å): 6.7187 6.7187 6.7187
angles (deg): 58.33 58.33 58.33
Sites, in units of the cell vectors:
Dy 0.0000 0.0000 0.0000
Dy 0.4967 0.4967 0.4967
Al 0.2102 0.2102 0.2102
Cr 0.7066 0.7066 0.7066
S 0.0599 0.8498 0.4413
S 0.3467 0.5637 0.9371
S 0.4413 0.0599 0.8498
S 0.5637 0.9371 0.3467
S 0.8498 0.4413 0.0599
S 0.9371 0.3467 0.5637

Summary:
Calculated volume in Å³/cell: 206.3
VASP energy in eV/atom: -6.108
Formation energy without anion corrections in kJ/mol of atoms: -133